Compound: KTiCd2Ni
Source: Alexandria
Functional: PBE
Structure: relaxed

Cell lengths 5.026, 5.181, 5.026 Å; angles 90.00, 90.00, 90.00 degrees
Element x y z (fractional)
Cd 0.500 0.000 0.000
Cd 0.000 0.000 0.500
K 0.000 0.500 0.000
Ni 0.000 0.000 0.000
Ti 0.500 0.500 0.500

ΔH_f (0 K) = 21.16 kcal/mol of atoms
Space-group type = P4/mmm



Compound: HfBAsSe2
Source: Alexandria
Functional: PBE
Structure: relaxed

Cell lengths 4.481, 4.481, 4.382 Å; angles 90.00, 90.00, 90.00 degrees
Element x y z (fractional)
As 0.000 0.000 0.500
Se 0.500 0.000 0.000
Se 0.000 0.500 0.000
Hf 0.500 0.500 0.500
B 0.000 0.000 0.000

Raw formation energy = 0.350 eV/atom
Space-group type = P4/mmm



Compound: KBeSnAu2
Source: Alexandria
Functional: PBE
Structure: relaxed

Cell lengths 5.558, 5.118, 5.558 Å; angles 90.00, 90.00, 90.00 degrees
Element x y z (fractional)
Au 0.500 0.000 0.000
Au 0.000 0.000 0.500
Sn 0.500 0.500 0.500
K 0.000 0.000 0.000
Be 0.000 0.500 0.000

ΔH_f (0 K) = 30.34 kcal/mol of atoms
Space-group type = P4/mmm



Compound: KLiZr2
Source: Alexandria
Functional: PBE
Structure: relaxed

Cell lengths 6.749, 6.749, 6.749 Å; angles 153.73, 122.86, 63.94 degrees
Element x y z (fractional)
Zr 0.215 0.715 0.500
Zr 0.002 0.002 0.000
Li 0.768 0.268 0.500
K 0.514 0.514 0.000

ΔH_f (0 K) = 16.89 kcal/mol of atoms
Space-group type = Imm2



Compound: Ni2PtI
Source: Alexandria
Functional: PBE
Structure: relaxed

Cell lengths 4.433, 4.433, 4.433 Å; angles 60.00, 60.00, 60.00 degrees
Element x y z (fractional)
Ni 0.250 0.250 0.250
Ni 0.750 0.750 0.750
Pt 0.500 0.500 0.500
I 0.000 0.000 0.000

Raw formation energy = 0.500 eV/atom
Space-group type = Fm-3m



Compound: NbInBi2
Source: Alexandria
Functional: PBE
Structure: relaxed

Cell lengths 3.254, 3.254, 12.321 Å; angles 82.41, 82.41, 60.00 degrees
Element x y z (fractional)
In 0.500 0.500 0.500
Bi 0.919 0.919 0.242
Bi 0.081 0.081 0.758
Nb 0.000 0.000 0.000

ΔH_f (0 K) = 12.66 kcal/mol of atoms
Space-group type = R-3m



Compound: Zn2Sn2Bi
Source: Alexandria
Functional: PBE
Structure: relaxed

Cell lengths 7.705, 7.705, 4.059 Å; angles 90.00, 90.00, 90.00 degrees
Element x y z (fractional)
Bi 0.500 0.500 0.000
Bi 0.000 0.000 0.000
Zn 0.882 0.618 0.000
Zn 0.118 0.382 0.000
Zn 0.382 0.882 0.000
Zn 0.618 0.118 0.000
Sn 0.317 0.183 0.500
Sn 0.183 0.683 0.500
Sn 0.817 0.317 0.500
Sn 0.683 0.817 0.500

ΔH_f (0 K) = 2.56 kcal/mol of atoms
Space-group type = P4/mbm



Compound: LiBi3I
Source: Alexandria
Functional: PBE
Structure: relaxed

Cell lengths 5.334, 5.334, 5.334 Å; angles 90.00, 90.00, 90.00 degrees
Element x y z (fractional)
Bi 0.000 0.500 0.000
Bi 0.500 0.000 0.000
Bi 0.000 0.000 0.500
Li 0.000 0.000 0.000
I 0.500 0.500 0.500

Raw formation energy = 0.282 eV/atom
Space-group type = Pm-3m



Compound: CaY2Mo
Source: Alexandria
Functional: PBE
Structure: relaxed

Cell lengths 5.504, 5.504, 5.504 Å; angles 130.15, 119.63, 82.00 degrees
Element x y z (fractional)
Mo 0.250 0.750 0.500
Y 0.471 0.471 0.000
Y 0.029 0.029 0.000
Ca 0.750 0.250 0.500

ΔH_f (0 K) = 10.05 kcal/mol of atoms
Space-group type = Immm



Compound: CoIr4Se
Source: Alexandria
Functional: PBE
Structure: relaxed

Cell lengths 5.184, 5.184, 5.184 Å; angles 60.00, 60.00, 60.00 degrees
Element x y z (fractional)
Ir 0.625 0.625 0.124
Ir 0.625 0.124 0.625
Ir 0.625 0.625 0.625
Ir 0.124 0.625 0.625
Co 0.000 0.000 0.000
Se 0.250 0.250 0.250

Raw formation energy = 0.854 eV/atom
Space-group type = F-43m



Compound: VTcW3
Source: Alexandria
Functional: PBE
Structure: relaxed

Cell lengths 3.134, 5.204, 9.851 Å; angles 89.84, 90.00, 107.53 degrees
Element x y z (fractional)
Tc 0.049 0.098 0.152
Tc 0.951 0.902 0.848
W 0.248 0.497 0.747
W 0.148 0.296 0.451
W 0.852 0.704 0.549
W 0.650 0.300 0.950
W 0.752 0.503 0.253
W 0.350 0.700 0.050
V 0.451 0.902 0.351
V 0.549 0.098 0.649

ΔH_f (0 K) = -1.87 kcal/mol of atoms
Space-group type = C2/m



Compound: In4Bi3
Source: Alexandria
Functional: PBE
Structure: relaxed

Cell lengths 7.205, 8.532, 8.532 Å; angles 112.40, 106.35, 106.35 degrees
Element x y z (fractional)
Bi 0.750 0.868 0.260
Bi 0.882 0.392 0.132
Bi 0.510 0.260 0.392
Bi 0.118 0.608 0.868
Bi 0.490 0.740 0.608
Bi 0.250 0.132 0.740
In 0.639 0.534 0.853
In 0.500 0.000 0.000
In 0.214 0.853 0.320
In 0.000 0.000 0.000
In 0.106 0.320 0.466
In 0.361 0.466 0.147
In 0.894 0.680 0.534
In 0.786 0.147 0.680

ΔH_f (0 K) = 1.21 kcal/mol of atoms
Space-group type = R-3